VASP calculation (PBE) on a relaxed NbCd2Rh2 crystal.

a b c (Å): 6.619 6.619 4.221
angles (deg): 90.00 90.00 90.00
Fractional coordinates of all 10 atoms:
Rh (0.640, 0.140, 0.000)
Rh (0.360, 0.860, 0.000)
Rh (0.860, 0.640, 0.000)
Rh (0.140, 0.360, 0.000)
Cd (0.164, 0.664, 0.500)
Cd (0.664, 0.836, 0.500)
Cd (0.836, 0.336, 0.500)
Cd (0.336, 0.164, 0.500)
Nb (0.000, 0.000, 0.000)
Nb (0.500, 0.500, 0.000)

Summary:
**SG**: P4/mbm, No. 127
**Raw total energy**: -5.345 eV per atom



VASP calculation (PBE) on a relaxed LiTcPt crystal.

a b c (Å): 3.611 3.611 6.684
angles (deg): 90.00 90.00 90.00
Fractional coordinates of all 6 atoms:
Li (0.000, 0.500, 0.179)
Li (0.500, 0.000, 0.821)
Tc (0.000, 0.000, 0.500)
Tc (0.500, 0.500, 0.500)
Pt (0.500, 0.000, 0.190)
Pt (0.000, 0.500, 0.810)

Summary:
**SG**: P4/nmm, No. 129
**Raw total energy**: -6.108 eV per atom
**ΔE to the lowest computed polymorph**: 0.239 eV per atom



VASP calculation (PBE) on a relaxed PaTcGeMo crystal.

a b c (Å): 4.677 4.677 4.677
angles (deg): 60.00 60.00 60.00
Fractional coordinates of all 4 atoms:
Tc (0.000, 0.000, 0.000)
Mo (0.750, 0.750, 0.750)
Pa (0.500, 0.500, 0.500)
Ge (0.250, 0.250, 0.250)

Summary:
**SG**: F-43m, No. 216
**Raw total energy**: -8.604 eV per atom



VASP calculation (PBE) on a relaxed BaYMo2 crystal.

a b c (Å): 3.531 5.074 5.031
angles (deg): 90.00 90.00 90.00
Fractional coordinates of all 4 atoms:
Ba (0.000, 0.500, 0.500)
Mo (0.500, 0.500, 0.000)
Mo (0.000, 0.000, 0.000)
Y (0.500, 0.000, 0.500)

Summary:
**SG**: Pmmm, No. 47
**Raw total energy**: -6.301 eV per atom
**ΔE to the lowest computed polymorph**: 0.777 eV per atom



Question: Which value of raw total energy does entry 4 give?
Answer: -6.301 eV per atom



Question: Among the records above, which one has the lowest raw total energy?
Answer: PaTcGeMo



Question: Which of these has the highest raw total energy?
Answer: NbCd2Rh2